{"formula": "LiErCu4", "functional": "PBE", "state": "optimized geometry", "lattice": [[1.4297, -3.1064, 3.6622], [-1.7039, 0.6729, 4.6637], [-3.2811, -3.2400, 1.9603]], "species": ["Cu", "Cu", "Cu", "Cu", "Er", "Li"], "fractional_positions": [[0.6262, 0.6262, 0.1214], [0.6262, 0.1214, 0.6262], [0.1214, 0.6262, 0.6262], [0.6262, 0.6262, 0.6262], [0.2500, 0.2500, 0.2500], [0.0000, 0.0000, 0.0000]], "sg": "F-43m (216)", "total_magnetization_mub_per_cell": 0.001, "dft_energy_ev_per_cell": -22.57}